SrLuAgTe3 (PBE, optimized geometry); space group = P2_1/m; uncorrected energy = -4.256 eV/atom
1.0
8.401 0.000 0.000
0.000 4.324 0.000
-2.993 0.000 10.124
Sr Lu Ag Te
2 2 2 6
direct
0.244 0.250 0.292
0.756 0.750 0.708
0.309 0.750 0.836
0.691 0.250 0.164
0.082 0.250 0.592
0.918 0.750 0.408
0.065 0.250 0.853
0.285 0.750 0.544
0.429 0.750 0.137
0.571 0.250 0.863
0.715 0.250 0.456
0.935 0.750 0.147

SrLuAgTe3 (PBE, optimized geometry); space group = C2/m; uncorrected energy = -4.219 eV/atom
1.0
9.716 -2.186 0.000
9.716 2.186 0.000
-1.914 0.000 8.836
Sr Lu Ag Te
2 2 2 6
direct
0.129 0.129 0.072
0.871 0.871 0.928
0.165 0.165 0.588
0.835 0.835 0.412
0.462 0.462 0.288
0.538 0.538 0.712
0.000 0.000 0.500
0.314 0.314 0.171
0.326 0.326 0.638
0.500 0.500 0.000
0.674 0.674 0.362
0.686 0.686 0.829

Lu2TaAg (PBE, optimized geometry); space group = F-43m; uncorrected energy = -5.519 eV/atom; energy of formation from the pure elements = 39.71 kJ/mol of atoms
1.0
0.000 3.514 3.514
3.514 0.000 3.514
3.514 3.514 0.000
Lu Ta Ag
2 1 1
direct
0.000 0.000 0.000
0.250 0.250 0.250
0.500 0.500 0.500
0.750 0.750 0.750

LuTaAg (PBE, optimized geometry); space group = F-43m; uncorrected energy = -5.634 eV/atom; relative energy among the computed polymorphs = 0 meV per atom; energy of formation from the pure elements = 73.93 kJ/mol of atoms
1.0
0.000 3.289 3.289
3.289 0.000 3.289
3.289 3.289 0.000
Lu Ta Ag
1 1 1
direct
0.000 0.000 0.000
0.500 0.500 0.500
0.250 0.250 0.250